Record 1
# Na2B3C

A relaxed structure of Na2B3C (PBE, Alexandria).

## Properties
- E above lowest polymorph (eV/f.u.) = 0.11
- energy relative to the elements (eV per atom) = 0.152
- magnetization (μB/f.u.) = 0.01

The structure in CIF format:
```
data_Na2B3C
_cell_length_a 15.667
_cell_length_b 2.808
_cell_length_c 10.108
_cell_angle_alpha 90.00
_cell_angle_beta 121.12
_cell_angle_gamma 90.00
_space_group_name_H-M_alt 'C 1 m 1'
_space_group_IT_number 8
loop_
_space_group_symop_operation_xyz
'x,y,z'
'x,-y,z'
'x+1/2,y+1/2,z'
'x+1/2,-y+1/2,z'
loop_
_atom_site_label
_atom_site_type_symbol
_atom_site_fract_x
_atom_site_fract_y
_atom_site_fract_z
_atom_site_occupancy
Na1 Na 0.000 0.000 0.000 1
Na2 Na 0.001 0.500 0.501 1
Na3 Na 0.164 0.500 0.995 1
Na4 Na 0.166 0.000 0.500 1
Na5 Na 0.333 0.000 0.997 1
Na6 Na 0.334 0.500 0.502 1
B1 B 0.022 0.000 0.750 1
B2 B 0.130 0.000 0.749 1
B3 B 0.137 0.500 0.248 1
B4 B 0.198 0.500 0.748 1
B5 B 0.291 0.000 0.249 1
B6 B 0.304 0.500 0.749 1
B7 B 0.368 0.500 0.250 1
B8 B 0.372 0.000 0.750 1
B9 B 0.481 0.500 0.249 1
C1 C 0.033 0.500 0.248 1
C2 C 0.191 0.000 0.248 1
C3 C 0.471 0.000 0.751 1
```



Record 2
# Na5B8C2

A relaxed structure of Na5B8C2 (PBE, Alexandria).

## Properties
- E above lowest polymorph (eV/f.u.) = 0.26
- energy relative to the elements (eV per atom) = 0.188
- magnetization (μB/f.u.) = 0.00

The structure in CIF format:
```
data_Na5B8C2
_cell_length_a 23.281
_cell_length_b 2.852
_cell_length_c 10.101
_cell_angle_alpha 90.00
_cell_angle_beta 106.20
_cell_angle_gamma 90.00
_space_group_name_H-M_alt 'C 1 m 1'
_space_group_IT_number 8
loop_
_space_group_symop_operation_xyz
'x,y,z'
'x,-y,z'
'x+1/2,y+1/2,z'
'x+1/2,-y+1/2,z'
loop_
_atom_site_label
_atom_site_type_symbol
_atom_site_fract_x
_atom_site_fract_y
_atom_site_fract_z
_atom_site_occupancy
Na1 Na 0.000 0.000 0.000 1
Na2 Na 0.001 0.500 0.497 1
Na3 Na 0.099 0.500 0.203 1
Na4 Na 0.101 0.000 0.699 1
Na5 Na 0.200 0.000 0.400 1
Na6 Na 0.202 0.500 0.897 1
Na7 Na 0.299 0.500 0.601 1
Na8 Na 0.300 0.000 0.098 1
Na9 Na 0.399 0.500 0.297 1
Na10 Na 0.400 0.000 0.800 1
B1 B 0.017 0.000 0.283 1
B2 B 0.022 0.500 0.794 1
B3 B 0.085 0.500 0.919 1
B4 B 0.086 0.000 0.421 1
B5 B 0.125 0.000 0.998 1
B6 B 0.180 0.500 0.609 1
B7 B 0.212 0.500 0.174 1
B8 B 0.220 0.000 0.688 1
B9 B 0.278 0.500 0.305 1
B10 B 0.289 0.000 0.828 1
B11 B 0.315 0.000 0.378 1
B12 B 0.379 0.000 0.508 1
B13 B 0.383 0.500 0.017 1
B14 B 0.418 0.500 0.586 1
B15 B 0.476 0.000 0.202 1
B16 B 0.481 0.500 0.712 1
C1 C 0.118 0.500 0.483 1
C2 C 0.184 0.000 0.117 1
C3 C 0.320 0.500 0.890 1
C4 C 0.415 0.000 0.079 1
```



Record 3
# Na5B8C2

A relaxed structure of Na5B8C2 (PBE, Alexandria).

## Properties
- E above lowest polymorph (eV/f.u.) = 0.46
- energy relative to the elements (eV per atom) = 0.201
- magnetization (μB/f.u.) = 0.00

The structure in CIF format:
```
data_Na5B8C2
_cell_length_a 14.790
_cell_length_b 5.041
_cell_length_c 8.649
_cell_angle_alpha 90.00
_cell_angle_beta 90.00
_cell_angle_gamma 90.00
_space_group_name_H-M_alt 'C m c m'
_space_group_IT_number 63
_space_group_name_Hall '-C 2c 2'
loop_
_atom_site_label
_atom_site_type_symbol
_atom_site_fract_x
_atom_site_fract_y
_atom_site_fract_z
_atom_site_occupancy
Na1 Na 0.000 0.000 0.000 1
Na2 Na 0.100 0.500 0.000 1
Na3 Na 0.200 0.000 0.000 1
B1 B 0.000 0.321 0.250 1
B2 B 0.000 0.327 0.750 1
B3 B 0.101 0.168 0.750 1
B4 B 0.108 0.181 0.250 1
B5 B 0.206 0.339 0.750 1
C1 C 0.202 0.338 0.250 1
```



Record 4
# Na5B8C2

A relaxed structure of Na5B8C2 (PBE, Alexandria).

## Properties
- E above lowest polymorph (eV/f.u.) = 0.22
- energy relative to the elements (eV per atom) = 0.185
- magnetization (μB/f.u.) = 0.00

The structure in CIF format:
```
data_Na5B8C2
_cell_length_a 18.076
_cell_length_b 2.823
_cell_length_c 13.660
_cell_angle_alpha 90.00
_cell_angle_beta 112.34
_cell_angle_gamma 90.00
_space_group_name_H-M_alt 'C 1 2/m 1'
_space_group_IT_number 12
loop_
_space_group_symop_operation_xyz
'x,y,z'
'-x,-y,-z'
'-x,y,-z'
'x,-y,z'
'x+1/2,y+1/2,z'
'-x+1/2,-y+1/2,-z'
'-x+1/2,y+1/2,-z'
'x+1/2,-y+1/2,z'
loop_
_atom_site_label
_atom_site_type_symbol
_atom_site_fract_x
_atom_site_fract_y
_atom_site_fract_z
_atom_site_occupancy
Na1 Na 0.000 0.000 0.000 1
Na2 Na 0.000 0.000 0.500 1
Na3 Na 0.098 0.500 0.198 1
Na4 Na 0.099 0.500 0.701 1
Na5 Na 0.199 0.000 0.399 1
Na6 Na 0.199 0.000 0.902 1
B1 B 0.029 0.000 0.809 1
B2 B 0.062 0.500 0.373 1
B3 B 0.069 0.500 0.888 1
B4 B 0.127 0.500 0.505 1
B5 B 0.135 0.500 0.020 1
B6 B 0.169 0.000 0.590 1
B7 B 0.225 0.000 0.199 1
B8 B 0.232 0.000 0.715 1
C1 C 0.031 0.000 0.311 1
C2 C 0.167 0.000 0.083 1
```



Record 5
# Na2B3C

A relaxed structure of Na2B3C (PBE, Alexandria).

## Properties
- E above lowest polymorph (eV/f.u.) = 0.26
- energy relative to the elements (eV per atom) = 0.176
- magnetization (μB/f.u.) = 0.00

The structure in CIF format:
```
data_Na2B3C
_cell_length_a 5.090
_cell_length_b 8.614
_cell_length_c 7.709
_cell_angle_alpha 90.00
_cell_angle_beta 109.27
_cell_angle_gamma 90.00
_space_group_name_H-M_alt 'P 1 m 1'
_space_group_IT_number 6
loop_
_space_group_symop_operation_xyz
'x,y,z'
'x,-y,z'
loop_
_atom_site_label
_atom_site_type_symbol
_atom_site_fract_x
_atom_site_fract_y
_atom_site_fract_z
_atom_site_occupancy
Na1 Na 0.000 0.246 0.000 1
Na2 Na 0.199 0.251 0.399 1
Na3 Na 0.397 0.251 0.799 1
Na4 Na 0.598 0.250 0.200 1
Na5 Na 0.798 0.250 0.599 1
B1 B 0.062 0.000 0.799 1
B2 B 0.130 0.500 0.610 1
B3 B 0.289 0.000 0.185 1
B4 B 0.322 0.500 0.000 1
B5 B 0.461 0.500 0.603 1
B6 B 0.470 0.000 0.611 1
B7 B 0.516 0.000 0.398 1
B8 B 0.519 0.500 0.388 1
B9 B 0.654 0.500 0.000 1
B10 B 0.658 0.000 0.988 1
B11 B 0.764 0.500 0.805 1
B12 B 0.857 0.500 0.396 1
B13 B 0.905 0.000 0.415 1
B14 B 0.918 0.000 0.201 1
B15 B 0.958 0.500 0.193 1
C1 C 0.068 0.500 0.805 1
C2 C 0.132 0.000 0.610 1
C3 C 0.263 0.500 0.194 1
C4 C 0.322 0.000 0.989 1
C5 C 0.726 0.000 0.799 1
```



Record 6
# Na5B9C

A relaxed structure of Na5B9C (PBE, Alexandria).

## Properties
- E above lowest polymorph (eV/f.u.) = 0.26
- energy relative to the elements (eV per atom) = 0.254
- magnetization (μB/f.u.) = 0.00

The structure in CIF format:
```
data_Na5B9C
_cell_length_a 15.021
_cell_length_b 5.125
_cell_length_c 8.662
_cell_angle_alpha 90.00
_cell_angle_beta 90.00
_cell_angle_gamma 90.00
_space_group_name_H-M_alt 'C m c m'
_space_group_IT_number 63
_space_group_name_Hall '-C 2c 2'
loop_
_atom_site_label
_atom_site_type_symbol
_atom_site_fract_x
_atom_site_fract_y
_atom_site_fract_z
_atom_site_occupancy
Na1 Na 0.000 0.000 0.000 1
Na2 Na 0.100 0.500 0.000 1
Na3 Na 0.200 0.000 0.000 1
B1 B 0.000 0.342 0.250 1
B2 B 0.091 0.180 0.750 1
B3 B 0.101 0.163 0.250 1
B4 B 0.198 0.333 0.250 1
B5 B 0.200 0.320 0.750 1
C1 C 0.000 0.341 0.750 1
```



Record 7
# Na5B9C

A relaxed structure of Na5B9C (PBE, Alexandria).

## Properties
- E above lowest polymorph (eV/f.u.) = 0.30
- energy relative to the elements (eV per atom) = 0.257
- magnetization (μB/f.u.) = 0.00

The structure in CIF format:
```
data_Na5B9C
_cell_length_a 15.078
_cell_length_b 5.114
_cell_length_c 10.549
_cell_angle_alpha 90.00
_cell_angle_beta 124.93
_cell_angle_gamma 90.00
_space_group_name_H-M_alt 'C 1 2 1'
_space_group_IT_number 5
loop_
_space_group_symop_operation_xyz
'x,y,z'
'-x,y,-z'
'x+1/2,y+1/2,z'
'-x+1/2,y+1/2,-z'
loop_
_atom_site_label
_atom_site_type_symbol
_atom_site_fract_x
_atom_site_fract_y
_atom_site_fract_z
_atom_site_occupancy
Na1 Na 0.000 0.000 0.249 1
Na2 Na 0.099 0.502 0.248 1
Na3 Na 0.100 0.496 0.750 1
Na4 Na 0.199 0.001 0.248 1
Na5 Na 0.200 0.998 0.750 1
B1 B 0.000 0.177 0.500 1
B2 B 0.000 0.181 0.000 1
B3 B 0.000 0.822 0.500 1
B4 B 0.000 0.838 0.000 1
B5 B 0.097 0.673 0.000 1
B6 B 0.102 0.329 0.500 1
B7 B 0.103 0.331 0.000 1
B8 B 0.108 0.682 0.500 1
B9 B 0.199 0.162 0.001 1
B10 B 0.202 0.819 0.000 1
B11 B 0.206 0.158 0.500 1
C1 C 0.202 0.835 0.500 1
```



Record 8
# Na2B3C

A relaxed structure of Na2B3C (PBE, Alexandria).

## Properties
- E above lowest polymorph (eV/f.u.) = 0.11
- energy relative to the elements (eV per atom) = 0.152
- magnetization (μB/f.u.) = 0.00

The structure in CIF format:
```
data_Na2B3C
_cell_length_a 23.133
_cell_length_b 2.848
_cell_length_c 10.025
_cell_angle_alpha 90.00
_cell_angle_beta 106.60
_cell_angle_gamma 90.00
_space_group_name_H-M_alt 'C 1 m 1'
_space_group_IT_number 8
loop_
_space_group_symop_operation_xyz
'x,y,z'
'x,-y,z'
'x+1/2,y+1/2,z'
'x+1/2,-y+1/2,z'
loop_
_atom_site_label
_atom_site_type_symbol
_atom_site_fract_x
_atom_site_fract_y
_atom_site_fract_z
_atom_site_occupancy
Na1 Na 0.000 0.000 0.000 1
Na2 Na 0.000 0.500 0.497 1
Na3 Na 0.099 0.500 0.199 1
Na4 Na 0.100 0.000 0.699 1
Na5 Na 0.198 0.000 0.400 1
Na6 Na 0.200 0.500 0.898 1
Na7 Na 0.299 0.500 0.602 1
Na8 Na 0.300 0.000 0.097 1
Na9 Na 0.400 0.000 0.801 1
Na10 Na 0.400 0.500 0.299 1
B1 B 0.011 0.000 0.270 1
B2 B 0.079 0.500 0.909 1
B3 B 0.080 0.000 0.410 1
B4 B 0.118 0.000 0.986 1
B5 B 0.120 0.500 0.490 1
B6 B 0.184 0.000 0.119 1
B7 B 0.213 0.000 0.678 1
B8 B 0.275 0.500 0.300 1
B9 B 0.282 0.000 0.816 1
B10 B 0.317 0.000 0.384 1
B11 B 0.323 0.500 0.896 1
B12 B 0.381 0.000 0.511 1
B13 B 0.416 0.000 0.082 1
B14 B 0.422 0.500 0.593 1
B15 B 0.488 0.500 0.726 1
C1 C 0.018 0.500 0.787 1
C2 C 0.182 0.500 0.614 1
C3 C 0.215 0.500 0.181 1
C4 C 0.385 0.500 0.019 1
C5 C 0.480 0.000 0.208 1
```



Record 9
# Na4B5C3

A relaxed structure of Na4B5C3 (PBE, Alexandria).

## Properties
- E above lowest polymorph (eV/f.u.) = 0.12
- energy relative to the elements (eV per atom) = 0.071
- magnetization (μB/f.u.) = 0.00

The structure in CIF format:
```
data_Na4B5C3
_cell_length_a 17.719
_cell_length_b 2.835
_cell_length_c 10.068
_cell_angle_alpha 90.00
_cell_angle_beta 106.65
_cell_angle_gamma 90.00
_space_group_name_H-M_alt 'C 1 2/m 1'
_space_group_IT_number 12
loop_
_space_group_symop_operation_xyz
'x,y,z'
'-x,-y,-z'
'-x,y,-z'
'x,-y,z'
'x+1/2,y+1/2,z'
'-x+1/2,-y+1/2,-z'
'-x+1/2,y+1/2,-z'
'x+1/2,-y+1/2,z'
loop_
_atom_site_label
_atom_site_type_symbol
_atom_site_fract_x
_atom_site_fract_y
_atom_site_fract_z
_atom_site_occupancy
Na1 Na 0.000 0.000 0.000 1
Na2 Na 0.000 0.000 0.500 1
Na3 Na 0.000 0.500 0.249 1
Na4 Na 0.248 0.000 0.624 1
Na5 Na 0.250 0.000 0.125 1
B1 B 0.125 0.000 0.223 1
B2 B 0.125 0.000 0.743 1
B3 B 0.125 0.500 0.465 1
B4 B 0.125 0.500 0.643 1
B5 B 0.125 0.500 0.983 1
C1 C 0.124 0.500 0.145 1
C2 C 0.125 0.000 0.903 1
C3 C 0.126 0.000 0.387 1
```



Record 10
# Na5B8C2

A relaxed structure of Na5B8C2 (PBE, Alexandria).

## Properties
- E above lowest polymorph (eV/f.u.) = 0.19
- energy relative to the elements (eV per atom) = 0.183
- magnetization (μB/f.u.) = 0.00

The structure in CIF format:
```
data_Na5B8C2
_cell_length_a 2.813
_cell_length_b 26.464
_cell_length_c 8.656
_cell_angle_alpha 90.00
_cell_angle_beta 90.00
_cell_angle_gamma 90.00
_space_group_name_H-M_alt 'C m c m'
_space_group_IT_number 63
_space_group_name_Hall '-C 2c 2'
loop_
_atom_site_label
_atom_site_type_symbol
_atom_site_fract_x
_atom_site_fract_y
_atom_site_fract_z
_atom_site_occupancy
Na1 Na 0.000 0.000 0.000 1
Na2 Na 0.000 0.200 0.001 1
Na3 Na 0.000 0.401 0.503 1
B1 B 0.000 0.071 0.250 1
B2 B 0.000 0.125 0.750 1
B3 B 0.000 0.270 0.250 1
B4 B 0.000 0.273 0.750 1
B5 B 0.000 0.333 0.250 1
B6 B 0.000 0.338 0.750 1
B7 B 0.000 0.465 0.250 1
B8 B 0.000 0.469 0.750 1
C1 C 0.000 0.066 0.750 1
C2 C 0.000 0.131 0.250 1
```



Record 11
# Na2B3C

A relaxed structure of Na2B3C (PBE, Alexandria).

## Properties
- E above lowest polymorph (eV/f.u.) = 0.10
- energy relative to the elements (eV per atom) = 0.150
- magnetization (μB/f.u.) = 0.03

The structure in CIF format:
```
data_Na2B3C
_cell_length_a 8.647
_cell_length_b 2.811
_cell_length_c 15.658
_cell_angle_alpha 90.00
_cell_angle_beta 90.00
_cell_angle_gamma 90.00
_space_group_name_H-M_alt 'A m m 2'
_space_group_IT_number 38
loop_
_space_group_symop_operation_xyz
'x,y,z'
'-x,-y,z'
'-x,y,z'
'x,-y,z'
'x,y+1/2,z+1/2'
'-x,-y+1/2,z+1/2'
'-x,y+1/2,z+1/2'
'x,-y+1/2,z+1/2'
loop_
_atom_site_label
_atom_site_type_symbol
_atom_site_fract_x
_atom_site_fract_y
_atom_site_fract_z
_atom_site_occupancy
Na1 Na 0.248 0.000 0.000 1
Na2 Na 0.249 0.000 0.333 1
Na3 Na 0.249 0.000 0.665 1
B1 B 0.000 0.000 0.118 1
B2 B 0.000 0.000 0.228 1
B3 B 0.000 0.000 0.445 1
B4 B 0.000 0.000 0.550 1
B5 B 0.000 0.000 0.877 1
B6 B 0.500 0.000 0.101 1
B7 B 0.500 0.000 0.215 1
B8 B 0.500 0.000 0.445 1
B9 B 0.500 0.000 0.791 1
C1 C 0.000 0.000 0.778 1
C2 C 0.500 0.000 0.549 1
C3 C 0.500 0.000 0.891 1
```



Record 12
# Na5B8C2

A relaxed structure of Na5B8C2 (PBE, Alexandria).

## Properties
- E above lowest polymorph (eV/f.u.) = 0.12
- energy relative to the elements (eV per atom) = 0.178
- magnetization (μB/f.u.) = 0.00

The structure in CIF format:
```
data_Na5B8C2
_cell_length_a 23.424
_cell_length_b 2.825
_cell_length_c 10.131
_cell_angle_alpha 90.00
_cell_angle_beta 106.04
_cell_angle_gamma 90.00
_space_group_name_H-M_alt 'C 1 2/m 1'
_space_group_IT_number 12
loop_
_space_group_symop_operation_xyz
'x,y,z'
'-x,-y,-z'
'-x,y,-z'
'x,-y,z'
'x+1/2,y+1/2,z'
'-x+1/2,-y+1/2,-z'
'-x+1/2,y+1/2,-z'
'x+1/2,-y+1/2,z'
loop_
_atom_site_label
_atom_site_type_symbol
_atom_site_fract_x
_atom_site_fract_y
_atom_site_fract_z
_atom_site_occupancy
Na1 Na 0.000 0.000 0.000 1
Na2 Na 0.000 0.500 0.500 1
Na3 Na 0.098 0.000 0.700 1
Na4 Na 0.099 0.500 0.200 1
Na5 Na 0.199 0.000 0.398 1
Na6 Na 0.199 0.500 0.900 1
B1 B 0.019 0.000 0.289 1
B2 B 0.021 0.500 0.792 1
B3 B 0.085 0.000 0.421 1
B4 B 0.111 0.000 0.974 1
B5 B 0.174 0.500 0.600 1
B6 B 0.177 0.000 0.106 1
B7 B 0.217 0.000 0.686 1
B8 B 0.220 0.500 0.189 1
C1 C 0.081 0.500 0.912 1
C2 C 0.116 0.500 0.484 1
```